Ta2MoSe: optimized geometry, PBE.

Summary:
The density comes out at 13.051 g/cm3. Its crystal system is tetragonal. The uncorrected formation energy is 0.6 eV/f.u.

Geometry as CIF:
```
data_Ta2MoSe
_chemical_formula_sum 'Ta2 Mo1 Se1'
_space_group_name_H-M_alt 'P 4/m m m'
_space_group_IT_number 123
_space_group_name_Hall '-P 4 2'
_cell_length_a 4.594
_cell_length_b 4.594
_cell_length_c 3.236
_cell_angle_alpha 90.00
_cell_angle_beta 90.00
_cell_angle_gamma 90.00
loop_
_atom_site_label
_atom_site_type_symbol
_atom_site_fract_x
_atom_site_fract_y
_atom_site_fract_z
_atom_site_occupancy
Ta1 Ta 0.000 0.500 0.000 1
Mo1 Mo 0.000 0.000 0.500 1
Se1 Se 0.500 0.500 0.500 1
```